(1)
13
Lattice="6.781 -5.911 0.000 6.781 5.911 0.000 -2.477 0.000 5.648" Properties=species:S:1:pos:R:3 comment="Pr8Sm2Tm3 (PBE, relaxed)" rho_g_cm3=7.1 formation_energy_ev_per_atom=0.15 relative_energy_mev_per_atom=0 space_group=C2/m pbc="T T T"
Pr 0.528 0.000 1.457
Pr 2.508 2.810 4.786
Pr 3.950 0.000 2.190
Pr 8.577 2.810 0.862
Pr 2.508 -2.810 4.786
Pr 7.135 0.000 3.459
Pr 8.577 -2.810 0.862
Pr 10.557 0.000 4.192
Sm 0.474 0.000 4.708
Sm 10.611 0.000 0.940
Tm 5.543 3.158 2.824
Tm 6.781 0.000 0.000
Tm 5.543 -3.158 2.824

(2)
10
Lattice="5.816 -3.403 0.000 5.816 3.403 0.000 -2.885 0.000 8.776" Properties=species:S:1:pos:R:3 comment="Pr3Sm6Tm (PBE, relaxed)" rho_g_cm3=7.1 formation_energy_ev_per_atom=0.22 relative_energy_mev_per_atom=82 space_group=C2/m pbc="T T T"
Pr 0.000 0.000 0.000
Pr -1.068 0.000 5.877
Pr 9.815 0.000 2.898
Sm 1.612 1.759 6.114
Sm 4.131 0.000 0.720
Sm 7.135 1.759 2.662
Sm 1.612 -1.759 6.114
Sm 4.616 0.000 8.056
Sm 7.135 -1.759 2.662
Tm 4.373 0.000 4.388

(3)
19
Lattice="7.932 -4.658 0.000 7.932 4.658 0.000 -0.127 0.000 8.659" Properties=species:S:1:pos:R:3 comment="Pr2Sm12Tm5 (PBE, relaxed)" rho_g_cm3=7.6 formation_energy_ev_per_atom=0.13 relative_energy_mev_per_atom=16 space_group=C2/m pbc="T T T"
Pr 7.932 2.999 0.000
Pr 7.932 -2.999 0.000
Sm 0.963 0.000 2.905
Sm 5.895 2.862 2.951
Sm 5.361 1.683 6.589
Sm 9.842 2.862 5.708
Sm 6.465 0.000 1.022
Sm 10.376 1.683 2.071
Sm 5.361 -1.683 6.589
Sm 9.272 0.000 7.638
Sm 5.895 -2.862 2.951
Sm 10.376 -1.683 2.071
Sm 9.842 -2.862 5.708
Sm 14.774 0.000 5.754
Tm 3.148 0.000 0.141
Tm 4.226 0.000 3.708
Tm 7.869 0.000 4.330
Tm 11.511 0.000 4.952
Tm 12.589 0.000 8.519

(4)
14
Lattice="6.233 0.000 0.000 0.000 6.689 0.000 -2.774 0.000 11.401" Properties=species:S:1:pos:R:3 comment="Pr2Sm4Tm (PBE, relaxed)" rho_g_cm3=7.4 formation_energy_ev_per_atom=0.12 relative_energy_mev_per_atom=0 space_group=P2_1/m pbc="T T T"
Pr -0.708 1.672 5.621
Pr 1.113 1.672 0.865
Pr 2.346 5.017 10.536
Pr 4.167 5.017 5.781
Sm -1.255 0.067 8.957
Sm -1.255 3.278 8.957
Sm 2.043 5.017 0.585
Sm 1.144 5.017 7.279
Sm 2.315 1.672 4.123
Sm 1.416 1.672 10.816
Sm 4.714 3.412 2.445
Sm 4.714 6.622 2.445
Tm 1.285 5.017 3.857
Tm 2.175 1.672 7.544

(5)
19
Lattice="12.847 -5.142 0.000 12.847 5.142 0.000 -1.036 0.000 5.064" Properties=species:S:1:pos:R:3 comment="Pr5Sm12Tm2 (PBE, relaxed)" rho_g_cm3=7.1 formation_energy_ev_per_atom=0.11 relative_energy_mev_per_atom=0 space_group=C2/m pbc="T T T"
Pr 0.000 0.000 0.000
Pr 4.887 0.000 1.004
Pr 6.923 0.000 4.059
Pr 17.734 0.000 1.005
Pr 19.771 0.000 4.060
Sm 7.488 2.543 1.537
Sm 1.924 0.000 3.034
Sm 9.439 2.524 4.576
Sm 15.219 2.524 0.488
Sm 9.949 0.000 2.042
Sm 17.169 2.543 3.527
Sm 7.488 -2.543 1.537
Sm 14.708 0.000 3.022
Sm 9.439 -2.524 4.576
Sm 15.219 -2.524 0.488
Sm 22.733 0.000 2.030
Sm 17.169 -2.543 3.527
Tm 12.329 2.722 2.532
Tm 12.329 -2.722 2.532

(6)
16
Lattice="11.637 0.000 0.000 0.000 7.349 0.000 0.000 0.000 6.324" Properties=species:S:1:pos:R:3 comment="Pr4SmTm3 (PBE, relaxed)" rho_g_cm3=7.5 formation_energy_ev_per_atom=0.03 relative_energy_mev_per_atom=11 space_group=Pmn2_1 pbc="T T T"
Pr 0.000 0.957 0.000
Pr 0.000 6.377 3.269
Pr 2.840 0.932 2.188
Pr 2.979 6.417 5.350
Pr 5.819 0.972 0.107
Pr 5.819 6.392 3.162
Pr 8.658 6.417 5.350
Pr 8.797 0.932 2.188
Sm 0.000 4.586 0.087
Sm 5.819 2.763 3.248
Tm 0.000 2.810 3.224
Tm 2.906 2.802 5.338
Tm 2.912 4.547 2.176
Tm 5.819 4.540 0.062
Tm 8.731 2.802 5.338
Tm 8.725 4.547 2.176

(7)
10
Lattice="3.769 0.000 0.000 0.000 6.654 6.734 0.000 -6.654 6.734" Properties=species:S:1:pos:R:3 comment="Pr3Sm4Tm3 (PBE, relaxed)" rho_g_cm3=7.5 formation_energy_ev_per_atom=0.12 space_group=Amm2 pbc="T T T"
Pr 0.000 0.000 0.000
Pr 0.000 -2.278 9.027
Pr 0.000 2.278 9.027
Sm 1.884 -1.704 2.349
Sm 1.884 1.704 2.349
Sm 1.884 0.000 7.262
Sm 1.884 0.000 10.784
Tm 0.000 0.000 4.616
Tm 1.884 -3.257 5.645
Tm 1.884 3.257 5.645

(8)
11
Lattice="-3.392 3.392 8.491 3.392 -3.392 8.491 3.392 3.392 -8.491" Properties=species:S:1:pos:R:3 comment="Pr4Sm6Tm (PBE, relaxed)" rho_g_cm3=6.9 formation_energy_ev_per_atom=0.28 relative_energy_mev_per_atom=0 space_group=I-42m pbc="T T T"
Pr 2.104 -2.104 5.490
Pr 1.288 1.288 3.001
Pr -2.104 2.104 5.490
Pr 2.104 2.104 11.492
Sm 3.392 0.000 0.000
Sm 2.206 2.206 -2.049
Sm 1.186 -1.186 10.540
Sm 0.000 3.392 0.000
Sm 1.186 1.186 6.441
Sm -1.186 1.186 10.540
Tm 0.000 0.000 0.000

(9)
10
Lattice="4.987 2.879 4.054 -4.987 2.879 4.054 0.000 -5.759 4.054" Properties=species:S:1:pos:R:3 comment="Pr6SmTm3 (PBE, relaxed)" rho_g_cm3=7.1 formation_energy_ev_per_atom=0.22 relative_energy_mev_per_atom=15 space_group=R32 pbc="T T T"
Pr -1.649 -2.903 4.054
Pr -3.288 0.000 6.082
Pr -1.690 2.879 4.054
Pr 1.644 -2.848 6.082
Pr 3.339 0.024 4.054
Pr 1.644 2.848 6.082
Sm 0.000 0.000 0.000
Tm 0.000 0.000 3.077
Tm 0.000 0.000 6.082
Tm 0.000 0.000 9.087

(10)
15
Lattice="3.485 2.012 11.820 -3.485 2.012 11.820 0.000 -4.024 11.820" Properties=species:S:1:pos:R:3 comment="Pr4Sm3Tm8 (PBE, relaxed)" rho_g_cm3=7.9 formation_energy_ev_per_atom=0.12 space_group=R-3m pbc="T T T"
Pr 0.000 0.000 0.000
Pr 0.000 0.000 5.799
Pr 0.000 0.000 17.730
Pr 0.000 0.000 29.660
Sm -1.743 -1.006 11.820
Sm -1.743 1.006 23.640
Sm 0.000 2.012 11.820
Tm 0.000 -2.005 14.754
Tm -1.736 1.003 14.754
Tm -1.736 -1.003 20.706
Tm 0.000 0.000 9.044
Tm 0.000 0.000 26.416
Tm 1.736 1.003 14.754
Tm 1.736 -1.003 20.706
Tm 0.000 2.005 20.706

(11)
11
Lattice="9.037 -1.798 0.000 9.037 1.798 0.000 -3.592 0.000 11.681" Properties=species:S:1:pos:R:3 comment="Pr5Sm2Tm4 (PBE, relaxed)" rho_g_cm3=7.4 formation_energy_ev_per_atom=0.14 relative_energy_mev_per_atom=0 space_group=C2/m pbc="T T T"
Pr 0.000 0.000 0.000
Pr 2.483 0.000 11.550
Pr 5.190 0.000 5.652
Pr 9.293 0.000 6.029
Pr 11.999 0.000 0.131
Sm 2.122 0.000 3.339
Sm 12.361 0.000 8.342
Tm 0.318 0.000 8.965
Tm 8.055 0.000 2.906
Tm 6.427 0.000 8.775
Tm 14.164 0.000 2.716

(12)
11
Lattice="3.579 0.000 0.000 0.082 8.594 0.000 1.271 0.076 11.727" Properties=species:S:1:pos:R:3 comment="Pr2Sm4Tm5 (PBE, relaxed)" rho_g_cm3=8.0 formation_energy_ev_per_atom=0.05 relative_energy_mev_per_atom=0 space_group=P-1 pbc="T T T"
Pr 0.669 1.294 1.181
Pr 4.264 7.377 10.547
Sm 0.693 6.093 5.534
Sm 0.681 6.486 2.106
Sm 4.252 2.185 9.621
Sm 4.240 2.578 6.194
Tm 2.438 4.971 8.373
Tm 2.535 8.420 7.597
Tm 1.831 4.297 0.000
Tm 2.398 0.251 4.131
Tm 2.494 3.700 3.354

(13)
26
Lattice="11.781 0.000 0.000 0.000 20.936 0.000 0.000 0.000 3.648" Properties=species:S:1:pos:R:3 comment="Pr5Sm6Tm2 (PBE, relaxed)" rho_g_cm3=7.2 formation_energy_ev_per_atom=0.09 space_group=Pbam pbc="T T T"
Pr 0.000 0.000 0.000
Pr 1.001 5.712 0.000
Pr 2.324 11.595 0.000
Pr 3.567 1.126 0.000
Pr 4.890 16.180 0.000
Pr 5.891 10.468 0.000
Pr 6.891 4.756 0.000
Pr 8.215 19.810 0.000
Pr 9.457 9.342 0.000
Pr 10.781 15.224 0.000
Sm 0.748 8.772 1.824
Sm 0.967 2.762 1.824
Sm 2.049 18.004 0.000
Sm 3.842 7.536 0.000
Sm 4.924 13.230 1.824
Sm 5.143 19.240 1.824
Sm 6.638 1.696 1.824
Sm 6.858 7.706 1.824
Sm 7.939 13.400 0.000
Sm 9.733 2.932 0.000
Sm 10.814 18.174 1.824
Sm 11.034 12.164 1.824
Tm 2.011 14.874 1.824
Tm 3.879 4.406 1.824
Tm 7.902 16.530 1.824
Tm 9.770 6.062 1.824

(14)
8
Lattice="-2.535 2.561 10.222 2.535 -2.561 10.222 2.535 2.561 -10.222" Properties=species:S:1:pos:R:3 comment="Pr3Sm2Tm3 (PBE, relaxed)" rho_g_cm3=7.7 formation_energy_ev_per_atom=0.02 relative_energy_mev_per_atom=0 space_group=Immm pbc="T T T"
Pr 0.000 0.000 0.000
Pr 2.535 0.000 7.696
Pr 0.000 2.561 2.527
Sm 0.000 0.000 5.096
Sm 0.000 0.000 15.349
Tm 2.535 0.000 2.561
Tm 0.000 0.000 10.222
Tm 0.000 2.561 7.662

(15)
12
Lattice="3.164 -5.477 0.000 3.164 5.477 0.000 -2.112 0.000 11.937" Properties=species:S:1:pos:R:3 comment="Pr5Sm6Tm (PBE, relaxed)" rho_g_cm3=7.1 formation_energy_ev_per_atom=0.01 space_group=C2/m pbc="T T T"
Pr 0.000 0.000 0.000
Pr 2.108 3.651 5.968
Pr 3.164 1.825 0.000
Pr 3.164 -1.825 0.000
Pr 2.108 -3.651 5.968
Sm 1.056 1.817 3.006
Sm 0.010 0.000 8.933
Sm 1.056 -1.817 3.006
Sm 3.159 1.817 8.931
Sm 4.205 0.000 3.004
Sm 3.159 -1.817 8.931
Tm 2.108 0.000 5.968

(16)
20
Lattice="-4.736 11.073 3.435 4.736 -11.073 3.435 4.736 11.073 -3.435" Properties=species:S:1:pos:R:3 comment="Pr5Sm2Tm3 (PBE, relaxed)" rho_g_cm3=7.0 formation_energy_ev_per_atom=0.36 relative_energy_mev_per_atom=187 space_group=Ibam pbc="T T T"
Pr 4.736 -5.450 1.717
Pr 0.920 2.817 0.000
Pr 0.000 0.000 1.717
Pr 5.657 8.256 0.000
Pr 4.736 5.450 1.717
Pr 0.000 5.623 1.717
Pr -0.920 2.817 3.435
Pr 0.000 0.000 5.152
Pr 3.816 8.256 3.435
Pr 0.000 16.523 1.717
Sm 3.827 2.668 0.000
Sm 3.827 -2.668 3.435
Sm 0.910 13.740 0.000
Sm 0.910 8.405 3.435
Tm 7.060 2.603 0.000
Tm 4.736 0.000 1.717
Tm 2.324 8.470 0.000
Tm 2.412 2.603 3.435
Tm 0.000 11.073 1.717
Tm -2.324 8.470 3.435

(17)
10
Lattice="3.848 0.000 0.000 0.000 6.668 6.638 0.000 -6.668 6.638" Properties=species:S:1:pos:R:3 comment="Pr4Sm3Tm3 (PBE, relaxed)" rho_g_cm3=7.4 formation_energy_ev_per_atom=0.10 space_group=Amm2 pbc="T T T"
Pr 0.000 0.000 0.000
Pr 0.000 0.000 3.445
Pr 0.000 -1.755 8.386
Pr 0.000 1.755 8.386
Sm 0.000 -3.376 5.039
Sm 0.000 3.376 5.039
Sm 1.924 0.000 6.139
Tm 1.924 -4.427 8.358
Tm 1.924 0.000 10.606
Tm 1.924 4.427 8.358

(18)
10
Lattice="9.813 0.000 0.000 0.000 3.795 0.000 0.000 0.000 9.653" Properties=species:S:1:pos:R:3 comment="Pr3SmTm (PBE, relaxed)" rho_g_cm3=6.9 formation_energy_ev_per_atom=0.18 relative_energy_mev_per_atom=0 space_group=Pmma pbc="T T T"
Pr 0.652 0.000 1.847
Pr 2.453 0.000 6.043
Pr 4.254 0.000 1.847
Pr 5.558 0.000 7.806
Pr 7.359 0.000 3.610
Pr 9.161 0.000 7.806
Sm 2.453 1.897 8.954
Sm 7.359 1.897 0.698
Tm 0.000 1.897 4.826
Tm 4.906 1.897 4.826

(19)
15
Lattice="6.911 -6.173 0.000 6.911 6.173 0.000 -3.201 0.000 6.110" Properties=species:S:1:pos:R:3 comment="Pr8Sm3Tm4 (PBE, relaxed)" rho_g_cm3=7.2 formation_energy_ev_per_atom=0.33 space_group=C2/m pbc="T T T"
Pr 2.292 0.000 1.019
Pr 6.911 3.622 0.000
Pr 5.311 3.032 3.055
Pr 1.340 0.000 4.253
Pr 9.282 0.000 1.857
Pr 5.311 -3.032 3.055
Pr 6.911 -3.622 0.000
Pr 8.330 0.000 5.091
Sm -1.600 0.000 3.055
Sm 3.456 3.086 0.000
Sm 3.456 -3.086 0.000
Tm 1.855 3.086 3.055
Tm 1.855 -3.086 3.055
Tm 6.911 0.000 0.000
Tm 5.311 0.000 3.055